Compound: KCoAgP2
Source: Alexandria via LeMat-Bulk
Functional: PBE
Structure: optimized geometry

Values from the calculation:
spin magnetization = 2.728 μB/cell
space group = No. 123
energy = -11.09 eV/cell
energy of formation = 2157 meV per atom

Cell: 5.2827 5.2827 5.1350 Å, 90.00 90.00 90.00°
With the nearest neighbours (Å) after each atom.
Fractional positions:
K 0.0000 0.0000 0.0000  2 Ag 2.57, 4 P 2.64
Co 0.5000 0.5000 0.5000  8 P 3.68, 4 Ag 3.74
Ag 0.0000 0.0000 0.5000  2 K 2.57
P 0.0000 0.5000 0.0000  2 K 2.64
P 0.5000 0.0000 0.0000  2 K 2.64

Compound: KCoAgPd2
Source: Alexandria via LeMat-Bulk
Functional: PBE
Structure: optimized geometry

Values from the calculation:
spin magnetization = 1.710 μB/cell
space group = No. 123
energy = -12.94 eV/cell
energy of formation = 1700 meV per atom

Cell: 4.9819 4.9819 4.5827 Å, 90.00 90.00 90.00°
With the nearest neighbours (Å) after each atom.
Fractional positions:
K 0.0000 0.0000 0.0000  2 Co 2.29, 4 Pd 2.49
Co 0.0000 0.0000 0.5000  2 K 2.29
Ag 0.5000 0.5000 0.5000  8 Pd 3.38, 4 Co 3.52
Pd 0.0000 0.5000 0.0000  2 K 2.49
Pd 0.5000 0.0000 0.0000  2 K 2.49

Compound: KCo2AgRu
Source: Alexandria via LeMat-Bulk
Functional: PBE
Structure: optimized geometry

Values from the calculation:
spin magnetization = 5.070 μB/cell
space group = No. 123
energy = -15.08 eV/cell
energy of formation = 2472 meV per atom

Cell: 4.4097 4.4097 4.9541 Å, 90.00 90.00 90.00°
With the nearest neighbours (Å) after each atom.
Fractional positions:
K 0.0000 0.0000 0.0000  4 Co 2.20
Co 0.0000 0.5000 0.0000  2 K 2.20
Co 0.5000 0.0000 0.0000  2 K 2.20
Ag 0.0000 0.0000 0.5000  2 K 2.48
Ru 0.5000 0.5000 0.5000  4 Ag 3.12, 8 Co 3.32

Compound: KScCo2Ag
Source: Alexandria via LeMat-Bulk
Functional: PBE
Structure: optimized geometry

Values from the calculation:
spin magnetization = 2.546 μB/cell
space group = No. 123
energy = -17.68 eV/cell
energy of formation = 1363 meV per atom

Cell: 4.9017 4.9017 5.2473 Å, 90.00 90.00 90.00°
With the nearest neighbours (Å) after each atom.
Fractional positions:
K 0.0000 0.0000 0.0000  2 Ag 2.62
Sc 0.5000 0.5000 0.0000  4 K 3.47, 8 Co 3.59
Co 0.0000 0.5000 0.5000  2 Ag 2.45
Co 0.5000 0.0000 0.5000  2 Ag 2.45
Ag 0.0000 0.0000 0.5000  4 Co 2.45, 2 K 2.62

Compound: KCoAg2Se
Source: Alexandria via LeMat-Bulk
Functional: PBE
Structure: optimized geometry

Values from the calculation:
spin magnetization = 0.000 μB/cell
formation energy from raw total energies = 0.3169 eV per atom
space group = No. 123
energy = -15.81 eV/cell

Cell: 5.2814 5.2814 4.3822 Å, 90.00 90.00 90.00°
With the nearest neighbours (Å) after each atom.
Fractional positions:
K 0.0000 0.0000 0.0000  8 Ag 3.43, 4 Co 3.73
Co 0.5000 0.5000 0.0000  2 Se 2.19
Ag 0.0000 0.5000 0.5000  2 Se 2.64
Ag 0.5000 0.0000 0.5000  2 Se 2.64
Se 0.5000 0.5000 0.5000  2 Co 2.19

Compound: K2CoAgSn
Source: Alexandria via LeMat-Bulk
Functional: PBE
Structure: optimized geometry

Values from the calculation:
spin magnetization = 1.264 μB/cell
space group = No. 123
energy = -13.17 eV/cell
energy of formation = 596 meV per atom

Cell: 6.7126 6.7126 4.7878 Å, 90.00 90.00 90.00°
With the nearest neighbours (Å) after each atom.
Fractional positions:
K 0.0000 0.5000 0.0000  2 Sn 3.36
K 0.5000 0.0000 0.0000  2 Sn 3.36
Co 0.0000 0.0000 0.5000  2 Sn 2.39
Ag 0.5000 0.5000 0.5000  8 K 4.12
Sn 0.0000 0.0000 0.0000  2 Co 2.39

Compound: KCoAg2Sn
Source: Alexandria via LeMat-Bulk
Functional: PBE
Structure: optimized geometry

Values from the calculation:
spin magnetization = 1.660 μB/cell
space group = No. 123
energy = -10.43 eV/cell
energy of formation = 1496 meV per atom

Cell: 5.3673 5.3673 4.8540 Å, 90.00 90.00 90.00°
With the nearest neighbours (Å) after each atom.
Fractional positions:
K 0.0000 0.0000 0.0000  2 Co 2.43, 4 Ag 2.68
Co 0.0000 0.0000 0.5000  2 K 2.43
Ag 0.0000 0.5000 0.0000  2 K 2.68
Ag 0.5000 0.0000 0.0000  2 K 2.68
Sn 0.5000 0.5000 0.5000  8 Ag 3.62, 4 Co 3.80

Compound: LaCo2Ag
Source: Alexandria via LeMat-Bulk
Functional: PBE
Structure: optimized geometry

Values from the calculation:
spin magnetization = 2.096 μB/cell
space group = No. 6
energy = -21.45 eV/cell
energy of formation = 136 meV per atom

Cell: 4.0636 3.8507 5.2688 Å, 90.00 112.64 90.00°
With the nearest neighbours (Å) after each atom.
Fractional positions:
La 0.0000 0.0000 0.0000  7 Co 2.79-2.96
Co 0.5975 0.5000 0.1955  2 Co 2.23
Co 0.7099 0.0000 0.4257  2 Co 2.23
Ag 0.2955 0.5000 0.5931  7 Co 2.80-2.93

Compound: La5Co2Ag2
Source: Alexandria via LeMat-Bulk
Functional: PBE
Structure: optimized geometry

Values from the calculation:
spin magnetization = 0.000 μB/cell
space group = No. 64
energy = -91.64 eV/cell
energy of formation = -141 meV per atom

Cell: 8.9964 8.9964 7.6936 Å, 90.00 90.00 50.44°
With the nearest neighbours (Å) after each atom.
Fractional positions:
La 0.0000 0.0000 0.0000  4 Co 2.99-3.03
La 0.0526 0.7079 0.6720  3 Co 2.90-3.05, 1 Ag 3.25
La 0.2079 0.5526 0.1720  3 Co 2.90-3.05, 1 Ag 3.25
La 0.2921 0.9474 0.6720  3 Co 2.90-3.05, 1 Ag 3.25
La 0.4474 0.7921 0.1720  3 Co 2.90-3.05, 1 Ag 3.25
La 0.5000 0.5000 0.5000  4 Co 2.99-3.03
La 0.5526 0.2079 0.8280  3 Co 2.90-3.05, 1 Ag 3.25
La 0.7079 0.0526 0.3280  3 Co 2.90-3.05, 1 Ag 3.25
La 0.7921 0.4474 0.8280  3 Co 2.90-3.05, 1 Ag 3.25
La 0.9474 0.2921 0.3280  3 Co 2.90-3.05, 1 Ag 3.25
Co 0.1312 0.8688 0.3718  1 Co 2.82, 8 La 2.90-3.05
Co 0.3688 0.6312 0.8718  1 Co 2.82, 8 La 2.90-3.05
Co 0.6312 0.3688 0.1282  1 Co 2.82, 8 La 2.90-3.05
Co 0.8688 0.1312 0.6282  1 Co 2.82, 8 La 2.90-3.05
Ag 0.2168 0.2168 0.0000  7 La 3.25-3.53
Ag 0.2832 0.2832 0.5000  7 La 3.25-3.53
Ag 0.7168 0.7168 0.5000  7 La 3.25-3.53
Ag 0.7832 0.7832 0.0000  7 La 3.25-3.53

Compound: La8Co2Ag
Source: Alexandria via LeMat-Bulk
Functional: PBE
Structure: optimized geometry

Values from the calculation:
spin magnetization = 0.000 μB/cell
space group = No. 8
energy = -56.87 eV/cell
energy of formation = -36 meV per atom

Cell: 8.1079 8.1079 5.9421 Å, 98.33 98.33 117.63°
With the nearest neighbours (Å) after each atom.
Fractional positions:
La 0.0000 0.0000 0.0000  1 Ag 3.17, 3 La 3.24-3.46
La 0.2145 0.2145 0.6235  1 Ag 3.17, 3 La 3.24-3.46
La 0.2621 0.5172 0.2527  2 Co 2.71-2.83
La 0.3714 0.8449 0.8125  2 Co 3.02, 1 Ag 3.28
La 0.5172 0.2621 0.2527  2 Co 2.71-2.83
La 0.6982 0.9536 0.3719  2 Co 2.71-2.82
La 0.8449 0.3714 0.8125  2 Co 3.02, 1 Ag 3.28
La 0.9536 0.6982 0.3719  2 Co 2.71-2.82
Co 0.3314 0.8833 0.3119  6 La 2.71-3.02
Co 0.8833 0.3314 0.3119  6 La 2.71-3.02
Ag 0.6070 0.6070 0.8142  4 La 3.17-3.28

Compound: LaCo2Ag
Source: Alexandria via LeMat-Bulk
Functional: PBE
Structure: optimized geometry

Values from the calculation:
spin magnetization = 2.994 μB/cell
space group = No. 99
energy = -21.26 eV/cell
energy of formation = 183 meV per atom

Cell: 3.1203 3.1203 7.3463 Å, 90.00 90.00 90.00°
With the nearest neighbours (Å) after each atom.
Fractional positions:
La 0.0000 0.0000 0.0000  5 Co 3.08-3.13, 4 La 3.12, 4 Ag 3.33
Co 0.0000 0.0000 0.5735  4 Co 2.41
Co 0.5000 0.5000 0.7066  4 Co 2.41, 1 Ag 2.70
Ag 0.5000 0.5000 0.3393  5 Co 2.70-2.80

Compound: La2CoAg2
Source: Alexandria via LeMat-Bulk
Functional: PBE
Structure: optimized geometry

Values from the calculation:
spin magnetization = 0.000 μB/cell
ΔE to the lowest computed polymorph = 0 meV/atom
space group = No. 139
energy = -44.96 eV/cell
energy of formation = 37 meV per atom

Cell: 3.7467 3.7467 17.4946 Å, 90.00 90.00 90.00°
With the nearest neighbours (Å) after each atom.
Fractional positions:
La 0.0000 0.0000 0.0904  4 Co 3.09, 1 La 3.16, 4 Ag 3.36
La 0.0000 0.0000 0.9096  4 Co 3.09, 1 La 3.16, 4 Ag 3.36
La 0.5000 0.5000 0.4096  4 Co 3.09, 1 La 3.16, 4 Ag 3.36
La 0.5000 0.5000 0.5904  4 Co 3.09, 1 La 3.16, 4 Ag 3.36
Co 0.0000 0.0000 0.5000  8 La 3.09
Co 0.5000 0.5000 0.0000  8 La 3.09
Ag 0.0000 0.5000 0.2500  4 Ag 2.65
Ag 0.0000 0.5000 0.7500  4 Ag 2.65
Ag 0.5000 0.0000 0.2500  4 Ag 2.65
Ag 0.5000 0.0000 0.7500  4 Ag 2.65